DFT (PBE with a Hubbard U) results for crystalline TlCrP2O7 at its relaxed geometry.

```
data_TlCrP2O7
_chemical_formula_sum 'Tl4 Cr4 P8 O28'
_space_group_name_H-M_alt 'P 1 21/c 1'
_space_group_IT_number 14
_cell_length_a 7.6117
_cell_length_b 10.0971
_cell_length_c 8.3558
_cell_angle_alpha 90.00
_cell_angle_beta 106.21
_cell_angle_gamma 90.00
loop_
_space_group_symop_operation_xyz
'x,y,z'
'-x,-y,-z'
'-x,y+1/2,-z+1/2'
'x,-y+1/2,z+1/2'
loop_
_atom_site_label
_atom_site_type_symbol
_atom_site_fract_x
_atom_site_fract_y
_atom_site_fract_z
Tl1 Tl 0.1833 0.1855 0.0528
Cr1 Cr 0.2391 0.6012 0.2599
P1 P 0.1288 0.5972 0.8313
P2 P 0.4319 0.6312 0.6888
O1 O 0.0119 0.0008 0.7758
O2 O 0.0849 0.7374 0.7566
O3 O 0.1446 0.5905 0.0145
O4 O 0.3189 0.6033 0.5110
O5 O 0.3253 0.5541 0.8070
O6 O 0.3756 0.0723 0.7634
O7 O 0.4436 0.7216 0.2402
```

Calculated values
Total moment: 12.0 Bohr magnetons per cell
DOS(E_F): 0.0 states/eV/cell
Electronic total energy: -0.2603 hartree per atom